[1]
# ZrCrMo

Crystalline ZrCrMo at its relaxed geometry (GGA-PBE, the Alexandria database).

Lattice parameters (Å, degrees): 5.6202 4.3022 9.9075 90.00 124.09 90.00
With the nearest neighbours (Å) after each atom.
Fractional coordinates of all 12 atoms:
Mo (0.2173, 0.5000, 0.9806)  2 Cr 2.54, 1 Mo 2.68
Mo (0.7827, 0.0000, 0.5194)  2 Cr 2.54, 1 Mo 2.68
Mo (0.7827, 0.5000, 0.0194)  2 Cr 2.54, 1 Mo 2.68
Mo (0.2173, 0.0000, 0.4806)  2 Cr 2.54, 1 Mo 2.68
Zr (0.4113, 0.5000, 0.3278)  4 Cr 2.76-2.87, 3 Mo 2.85-2.97, 1 Zr 2.97
Zr (0.4113, 0.0000, 0.8278)  4 Cr 2.76-2.87, 3 Mo 2.85-2.97, 1 Zr 2.97
Zr (0.5887, 0.0000, 0.1722)  4 Cr 2.76-2.87, 3 Mo 2.85-2.97, 1 Zr 2.97
Zr (0.5887, 0.5000, 0.6722)  4 Cr 2.76-2.87, 3 Mo 2.85-2.97, 1 Zr 2.97
Cr (0.9417, 0.0000, 0.8490)  2 Mo 2.54, 1 Cr 2.68, 3 Zr 2.76-2.78
Cr (0.0583, 0.0000, 0.1510)  2 Mo 2.54, 1 Cr 2.68, 3 Zr 2.76-2.78
Cr (0.9417, 0.5000, 0.3490)  2 Mo 2.54, 1 Cr 2.68, 3 Zr 2.76-2.78
Cr (0.0583, 0.5000, 0.6510)  2 Mo 2.54, 1 Cr 2.68, 3 Zr 2.76-2.78

- Theoretical density: 8.0 g/cm³

***

[2]
# ZrCrMo3

Crystalline ZrCrMo3 at its relaxed geometry (GGA-PBE, the Alexandria database).

Lattice parameters (Å, degrees): 4.5269 4.5269 4.5269 90.00 90.00 90.00
With the nearest neighbours (Å) after each atom.
Fractional coordinates of all 5 atoms:
Mo (0.5000, 0.0000, 0.0000)  2 Cr 2.26
Mo (0.0000, 0.0000, 0.5000)  2 Cr 2.26
Mo (0.0000, 0.5000, 0.0000)  2 Cr 2.26
Zr (0.5000, 0.5000, 0.5000)  12 Mo 3.20
Cr (0.0000, 0.0000, 0.0000)  6 Mo 2.26

- Theoretical density: 7.7 g/cm³

***

[3]
# ZrCr2Mo

Crystalline ZrCr2Mo at its relaxed geometry (GGA-PBE, the Alexandria database).

Lattice parameters (Å, degrees): 4.4263 4.4263 4.4263 60.00 60.00 60.00
With the nearest neighbours (Å) after each atom.
Fractional coordinates of all 4 atoms:
Zr (0.7500, 0.7500, 0.7500)  4 Mo 2.71, 4 Cr 2.71
Cr (0.0000, 0.0000, 0.0000)  4 Zr 2.71, 4 Cr 2.71
Cr (0.2500, 0.2500, 0.2500)  4 Cr 2.71, 4 Mo 2.71
Mo (0.5000, 0.5000, 0.5000)  4 Cr 2.71, 4 Zr 2.71

- Theoretical density: 7.9 g/cm³

***

[4]
# ZrCrMo

Crystalline ZrCrMo at its relaxed geometry (GGA-PBE, the Alexandria database).

Lattice parameters (Å, degrees): 6.9685 6.7407 2.8597 82.47 73.53 24.01
With the nearest neighbours (Å) after each atom.
Fractional coordinates of all 3 atoms:
Mo (0.3481, 0.3481, 0.6519)  2 Cr 2.45
Zr (0.6612, 0.6612, 0.3388)  2 Cr 2.74, 4 Zr 2.86, 2 Mo 2.92
Cr (0.9907, 0.9907, 0.0093)  2 Mo 2.45, 2 Zr 2.74

- Theoretical density: 8.0 g/cm³

***

[5]
# ZrCrMo

Crystalline ZrCrMo at its relaxed geometry (GGA-PBE, the Alexandria database).

Lattice parameters (Å, degrees): 5.4932 5.4932 5.4932 146.83 146.83 47.61
With the nearest neighbours (Å) after each atom.
Fractional coordinates of all 3 atoms:
Cr (0.9846, 0.9846, 0.0000)  4 Mo 2.59, 4 Zr 2.85
Mo (0.3520, 0.3520, 0.0000)  4 Cr 2.59
Zr (0.6633, 0.6633, 0.0000)  4 Cr 2.85, 5 Mo 2.92-3.13, 4 Zr 3.14

- Theoretical density: 8.0 g/cm³

***

[6]
# ZrCrMo

Crystalline ZrCrMo at its relaxed geometry (GGA-PBE, the Alexandria database).

Lattice parameters (Å, degrees): 4.3862 4.3862 2.9687 90.00 90.00 120.00
With the nearest neighbours (Å) after each atom.
Fractional coordinates of all 3 atoms:
Mo (0.6667, 0.3333, 0.3039)  3 Cr 2.66, 3 Zr 2.75, 2 Mo 2.97
Cr (0.0000, 0.0000, 0.0285)  3 Mo 2.66, 3 Zr 2.75, 2 Cr 2.97
Zr (0.3333, 0.6667, 0.6676)  3 Cr 2.75, 3 Mo 2.75, 2 Zr 2.97

- Theoretical density: 8.0 g/cm³

***

[7]
# Zr2CrMo

Crystalline Zr2CrMo at its relaxed geometry (GGA-PBE, the Alexandria database).

Lattice parameters (Å, degrees): 8.7994 8.7994 8.7994 21.02 21.02 21.02
With the nearest neighbours (Å) after each atom.
Fractional coordinates of all 4 atoms:
Zr (0.0022, 0.0022, 0.0022)  3 Mo 2.80, 3 Cr 2.88
Zr (0.4978, 0.4978, 0.4978)  3 Mo 2.80, 3 Cr 2.88
Cr (0.2500, 0.2500, 0.2500)  6 Zr 2.88, 6 Cr 3.21
Mo (0.7500, 0.7500, 0.7500)  6 Zr 2.80

- Theoretical density: 7.1 g/cm³

***

[8]
# ZrCr2Mo

Crystalline ZrCr2Mo at its relaxed geometry (GGA-PBE, the Alexandria database).

Lattice parameters (Å, degrees): 4.2373 2.8343 5.1635 79.49 90.00 90.00
With the nearest neighbours (Å) after each atom.
Fractional coordinates of all 4 atoms:
Mo (0.0000, 0.4965, 0.4731)  3 Cr 2.52-2.58, 2 Zr 2.76
Zr (0.5000, 0.7500, 0.7605)  4 Cr 2.65-2.77, 2 Mo 2.76, 2 Zr 2.83
Cr (0.0000, 0.0063, 0.0194)  1 Mo 2.52, 2 Cr 2.57, 2 Zr 2.68
Cr (0.5000, 0.2472, 0.2470)  4 Cr 2.57-2.83, 2 Mo 2.58, 2 Zr 2.65-2.77

- Theoretical density: 7.9 g/cm³

***

[9]
# ZrCr4Mo

Crystalline ZrCr4Mo at its relaxed geometry (GGA-PBE, the Alexandria database).

Lattice parameters (Å, degrees): 4.9328 4.9328 4.9328 60.00 60.00 60.00
With the nearest neighbours (Å) after each atom.
Fractional coordinates of all 6 atoms:
Cr (0.6244, 0.6244, 0.6244)  6 Cr 2.45-2.48
Cr (0.6244, 0.1268, 0.6244)  6 Cr 2.45-2.48
Cr (0.1268, 0.6244, 0.6244)  6 Cr 2.45-2.48
Cr (0.6244, 0.6244, 0.1268)  6 Cr 2.45-2.48
Mo (0.2500, 0.2500, 0.2500)  12 Cr 2.89, 4 Zr 3.02
Zr (0.0000, 0.0000, 0.0000)  12 Cr 2.89, 4 Mo 3.02

- Theoretical density: 7.7 g/cm³

***

[10]
# ZrCr3Mo

Crystalline ZrCr3Mo at its relaxed geometry (GGA-PBE, the Alexandria database).

Lattice parameters (Å, degrees): 4.5434 4.5434 4.5434 90.00 90.00 90.00
With the nearest neighbours (Å) after each atom.
Fractional coordinates of all 5 atoms:
Mo (0.0000, 0.0000, 0.0000)  6 Cr 2.27
Cr (0.0000, 0.5000, 0.0000)  2 Mo 2.27
Cr (0.5000, 0.0000, 0.0000)  2 Mo 2.27
Cr (0.0000, 0.0000, 0.5000)  2 Mo 2.27
Zr (0.5000, 0.5000, 0.5000)  12 Cr 3.21

- Theoretical density: 6.1 g/cm³

***

[11]
# ZrCr2Mo

Crystalline ZrCr2Mo at its relaxed geometry (GGA-PBE, the Alexandria database).

Lattice parameters (Å, degrees): 4.4018 4.4018 4.4018 60.00 60.00 60.00
With the nearest neighbours (Å) after each atom.
Fractional coordinates of all 4 atoms:
Cr (0.7500, 0.7500, 0.7500)  4 Zr 2.70, 4 Mo 2.70
Cr (0.2500, 0.2500, 0.2500)  4 Zr 2.70, 4 Mo 2.70
Zr (0.0000, 0.0000, 0.0000)  8 Cr 2.70
Mo (0.5000, 0.5000, 0.5000)  8 Cr 2.70

- Theoretical density: 8.0 g/cm³

***

[12]
# Zr2CrMo

Crystalline Zr2CrMo at its relaxed geometry (GGA-PBE, the Alexandria database).

Lattice parameters (Å, degrees): 4.3846 2.9707 5.5367 81.71 90.00 90.00
With the nearest neighbours (Å) after each atom.
Fractional coordinates of all 4 atoms:
Cr (0.5000, 0.2500, 0.2500)  4 Zr 2.74, 2 Mo 2.95, 2 Cr 2.97
Zr (0.0000, 0.4993, 0.4951)  2 Cr 2.74, 2 Mo 2.77, 4 Zr 2.90-2.99
Zr (0.0000, 0.0007, 0.0049)  2 Cr 2.74, 2 Mo 2.77, 4 Zr 2.90-2.99
Mo (0.5000, 0.7500, 0.7500)  4 Zr 2.77, 2 Cr 2.95, 2 Mo 2.97

- Theoretical density: 7.7 g/cm³

***

| no. | VASP energy (eV per cell) | M_tot (μB per atom) | energy relative to the elements (meV/atom) |
| --- | --- | --- | --- |
| 1 | -114.44 | 0.00 | 131 |
| 2 | -46.50 | 0.23 | 833 |
| 3 | -37.73 | 0.14 | 224 |
| 4 | -28.35 | 0.00 | 216 |
| 5 | -28.81 | 0.00 | 63 |
| 6 | -28.39 | 0.00 | 203 |
| 7 | -35.90 | 0.71 | 413 |
| 8 | -37.64 | 0.00 | 248 |
| 9 | -57.73 | 0.00 | 24 |
| 10 | -42.60 | 1.16 | 1129 |
| 11 | -38.03 | 0.00 | 149 |
| 12 | -36.44 | 0.00 | 277 |